# 1
A relaxed Ac3Al3Zn8 crystal. Source: Alexandria via LeMat-Bulk, functional PBE.

Results
**Volume**: 21.61 A^3/atom
**Total energy**: -2.7033 eV per atom
**Formation energy**: -0.29 eV/atom
**Mass density**: 7.05 g/cm3
**Density of states at the Fermi level**: 5.916 states/eV/cell
**Energy above the lowest structure with this stoichiometry**: 0.000 eV per atom

Cell lengths 8.674, 8.674, 9.354 Å; angles 122.52, 122.52, 31.21 degrees
Atoms (fractional coordinates):
Ac 0.000 0.000 0.000
Ac 0.303 0.303 0.298
Ac 0.697 0.697 0.702
Al 0.000 0.000 0.500
Al 0.343 0.343 0.705
Al 0.657 0.657 0.295
Zn 0.142 0.142 0.866
Zn 0.148 0.148 0.424
Zn 0.345 0.345 0.985
Zn 0.500 0.500 0.301
Zn 0.500 0.500 0.699
Zn 0.655 0.655 0.015
Zn 0.852 0.852 0.576
Zn 0.858 0.858 0.134

***

# 2
A relaxed Ac2Al3Zn4 crystal. Source: Alexandria via LeMat-Bulk, functional PBE.

Results
**Volume**: 21.91 A^3/atom
**Total energy**: -2.9763 eV per atom
**Formation energy**: -0.25 eV/atom
**Mass density**: 6.71 g/cm3
**Density of states at the Fermi level**: 10.019 states/eV/cell

Cell lengths 8.598, 8.598, 8.084 Å; angles 90.00, 90.00, 138.71 degrees
Atoms (fractional coordinates):
Ac 0.110 0.890 0.903
Ac 0.390 0.610 0.403
Ac 0.610 0.390 0.597
Ac 0.890 0.110 0.097
Al 0.000 0.000 0.500
Al 0.026 0.474 0.750
Al 0.474 0.026 0.250
Al 0.500 0.500 0.000
Al 0.526 0.974 0.750
Al 0.974 0.526 0.250
Zn 0.180 0.820 0.513
Zn 0.187 0.313 0.750
Zn 0.313 0.187 0.250
Zn 0.320 0.680 0.013
Zn 0.680 0.320 0.987
Zn 0.687 0.813 0.750
Zn 0.813 0.687 0.250
Zn 0.820 0.180 0.487

***

# 3
A relaxed AcAlZn3 crystal. Source: Alexandria via LeMat-Bulk, functional PBE.

Results
**Volume**: 21.35 A^3/atom
**Total energy**: -2.6690 eV per atom
**Formation energy**: -0.33 eV/atom
**Mass density**: 7.00 g/cm3
**Density of states at the Fermi level**: 2.301 states/eV/cell
**Energy above the lowest structure with this stoichiometry**: 0.000 eV per atom

Cell lengths 4.511, 4.511, 6.128 Å; angles 111.41, 111.41, 90.12 degrees
Atoms (fractional coordinates):
Ac 0.000 0.000 0.000
Al 0.622 0.622 0.243
Zn 0.249 0.749 0.499
Zn 0.375 0.375 0.752
Zn 0.749 0.249 0.499

***

# 4
A relaxed Ac3Al8Zn3 crystal. Source: Alexandria via LeMat-Bulk, functional PBE.

Results
**Volume**: 22.32 A^3/atom
**Total energy**: -3.5991 eV per atom
**Formation energy**: -0.31 eV/atom
**Mass density**: 5.81 g/cm3
**Density of states at the Fermi level**: 5.893 states/eV/cell
**Energy above the lowest structure with this stoichiometry**: 0.000 eV per atom

Cell lengths 8.711, 8.711, 10.492 Å; angles 126.56, 126.56, 29.90 degrees
Atoms (fractional coordinates):
Ac 0.000 0.000 0.000
Ac 0.317 0.317 0.319
Ac 0.683 0.683 0.681
Al 0.139 0.139 0.867
Al 0.144 0.144 0.412
Al 0.336 0.336 0.964
Al 0.499 0.499 0.724
Al 0.501 0.501 0.276
Al 0.664 0.664 0.036
Al 0.856 0.856 0.588
Al 0.861 0.861 0.133
Zn 0.000 0.000 0.500
Zn 0.335 0.335 0.704
Zn 0.665 0.665 0.296

***

Among the records above, which one has the lowest total energy?
Ac3Al8Zn3

***

What is the mass density in the second record?
6.71 g/cm3

***

Which of these has the lowest volume?
AcAlZn3